# 1
The following is a PBE-GGA calculation of a relaxed CeMgTa4N8 crystal, from Alexandria.

Results
The calculation puts the uncorrected formation energy at -14.2 eV per formula unit. As for the total DFT energy (no corrections): -0.3564 Ha/atom. The density of states at the Fermi level is 0.53 states/eV per atom.

Cell: 6.5352 6.5352 6.5352 Å, 57.15 57.15 57.15°
Last column: nearest neighbours and their distance in Å.
Atoms (fractional coordinates):
Ce  0.0000  0.0000  0.0000  6 N 2.31-2.35
Mg  0.6223  0.6223  0.6223  4 N 2.11-2.28
Ta  0.3752  0.3752  0.3752  4 N 1.96-2.15
Ta  0.5126  0.9963  0.9963  6 N 2.04-2.23
Ta  0.9963  0.5126  0.9963  6 N 2.04-2.23
Ta  0.9963  0.9963  0.5126  6 N 2.04-2.23
N  0.2137  0.7480  0.7480  2 Ta 2.04, 1 Mg 2.11
N  0.2437  0.2437  0.2437  4 Ta 2.15-2.23
N  0.2594  0.2594  0.7551  1 Ta 1.96
N  0.2594  0.7551  0.2594  1 Ta 1.96
N  0.7480  0.2137  0.7480  2 Ta 2.04, 1 Mg 2.11
N  0.7480  0.7480  0.2137  2 Ta 2.04, 1 Mg 2.11
N  0.7551  0.2594  0.2594  1 Ta 1.96
N  0.7617  0.7617  0.7617  3 Ta 2.12, 1 Mg 2.28

# 2
The following is a PBE-GGA calculation of a relaxed CaRe2Tc crystal, from Alexandria.

Results
The value obtained for the formation energy is 0.87 eV per atom. The relative energy among the computed polymorphs is 406.5 meV/atom. As for the total DFT energy (no corrections): -0.3104 Ha/atom. The density of states at the Fermi level is 1.10 states/eV per atom.

Cell: 5.3250 5.3250 5.3250 Å, 137.76 137.76 61.27°
Last column: nearest neighbours and their distance in Å.
Atoms (fractional coordinates):
Ca  0.0000  0.0000  0.0000  4 Tc 2.71, 8 Re 2.99
Re  0.2500  0.7500  0.5000  4 Re 2.71, 4 Tc 2.99, 4 Ca 2.99
Re  0.7500  0.2500  0.5000  4 Re 2.71, 4 Tc 2.99, 4 Ca 2.99
Tc  0.5000  0.5000  0.0000  4 Ca 2.71, 8 Re 2.99

# 3
The following is a PBE-GGA calculation of a relaxed Na2GaIr2 crystal, from Alexandria.

Results
The value obtained for the formation energy is 0.66 eV per atom. The relative energy among the computed polymorphs is 229.7 meV/atom. As for the total DFT energy (no corrections): -0.1475 Ha/atom. The density of states at the Fermi level is 0.87 states/eV per atom.

Cell: 8.7309 8.7309 2.5174 Å, 90.00 90.00 90.00°
Last column: nearest neighbours and their distance in Å.
Atoms (fractional coordinates):
Na  0.1143  0.3857  0.0000  2 Na 2.52, 2 Ir 2.80
Na  0.3857  0.8857  0.0000  2 Na 2.52, 2 Ir 2.80
Na  0.6143  0.1143  0.0000  2 Na 2.52, 2 Ir 2.80
Na  0.8857  0.6143  0.0000  2 Na 2.52, 2 Ir 2.80
Ga  0.0000  0.0000  0.0000  2 Ga 2.52
Ga  0.5000  0.5000  0.0000  2 Ga 2.52
Ir  0.1833  0.6833  0.5000  2 Ir 2.52, 2 Na 2.80
Ir  0.3167  0.1833  0.5000  2 Ir 2.52, 2 Na 2.80
Ir  0.6833  0.8167  0.5000  2 Ir 2.52, 2 Na 2.80
Ir  0.8167  0.3167  0.5000  2 Ir 2.52, 2 Na 2.80